Compound: Ac4Ir2F
Source: the Alexandria database
Functional: PBE
Structure: optimized geometry

Geometry as extended XYZ:
```
7
Lattice="7.2700 0.0000 0.0000 0.0000 4.4341 0.0000 -2.5055 0.0000 7.1241" Properties=species:S:1:pos:R:3 pbc="T T T"
Ac 1.0823 0.0000 1.6834
Ac -0.1780 2.3730 5.2905
Ac 4.9424 2.3730 1.8336
Ac 3.6822 0.0000 5.4406
Ir -1.2528 0.0736 3.5620
Ir 0.0000 2.2058 0.0000
F 3.6350 3.6786 0.0000
```

Output
- Energy: -6.38 eV per atom
- M_tot: 0.000 μB per atom
- SG: P2 (3)